1.
DFT (PBE) results for CaThSi4 after structural relaxation.

Calculated values
As for the density of states at the Fermi level: 0.4745 states/eV/atom. The magnetic moment comes out at 0.00 μB per cell. As for the final energy: -5.66 eV per atom. The value obtained for the mass density is 5.17 Mg/m³. The space group is I-4m2 (119).

```
6
Lattice="-2.734 2.872 1.430 0.077 -1.820 3.801 6.620 3.586 -0.754" Properties=species:S:1:pos:R:3 pbc="T T T"
Ca 2.684 1.146 2.832
Th 0.000 0.000 0.000
Si 0.375 2.790 1.328
Si -0.447 1.211 2.926
Si 2.182 4.194 1.964
Si 4.410 3.427 1.552
```



2.
DFT (PBE) results for Ca2ThSi6 after structural relaxation.

Calculated values
As for the density of states at the Fermi level: 0.7922 states/eV/atom. The magnetic moment comes out at 0.00 μB per cell. As for the final energy: -5.28 eV per atom. The value obtained for the mass density is 4.31 Mg/m³. The space group is P6/mmm (191).

```
9
Lattice="-0.446 1.222 -3.990 -6.571 -2.786 -0.118 0.962 6.793 1.973" Properties=species:S:1:pos:R:3 pbc="T T T"
Ca -1.549 3.600 1.276
Ca -4.506 1.629 -3.411
Th 0.962 6.793 1.973
Si -2.090 1.945 -1.378
Si -3.965 3.284 -0.758
Si 0.418 5.143 -0.679
Si -3.645 5.545 -0.101
Si -2.411 -0.316 -2.034
Si -6.474 0.086 -1.457
```



3.
DFT (PBE) results for CaThZnSi after structural relaxation.

Calculated values
As for the density of states at the Fermi level: 0.8521 states/eV/atom. The magnetic moment comes out at 0.00 μB per cell. As for the final energy: -4.31 eV per atom. The value obtained for the mass density is 6.44 Mg/m³. The space group is F-43m (216).

```
4
Lattice="5.108 0.000 0.000 2.554 4.424 0.000 2.554 1.475 4.171" Properties=species:S:1:pos:R:3 pbc="T T T"
Zn 0.000 0.000 0.000
Si 5.108 2.949 2.085
Ca 7.663 4.424 3.128
Th 2.554 1.475 1.043
```



4.
DFT (PBE) results for Ca2TiSi after structural relaxation.

Calculated values
As for the density of states at the Fermi level: 0.7040 states/eV/atom. The magnetic moment comes out at 4.08 μB per cell. As for the final energy: -4.03 eV per atom. The value obtained for the mass density is 1.93 Mg/m³. The space group is I-42d (122).

```
8
Lattice="10.367 0.000 0.000 0.000 10.367 0.000 5.183 5.183 2.500" Properties=species:S:1:pos:R:3 pbc="T T T"
Ca 6.317 2.592 0.625
Ca 4.050 7.775 0.625
Ca 7.775 9.233 1.875
Ca 12.959 11.500 1.875
Si 5.183 5.183 0.000
Si 5.183 10.367 1.250
Ti 0.000 0.000 0.000
Ti 10.367 5.183 1.250
```



5.
DFT (PBE) results for CaTi2Si2 after structural relaxation.

Calculated values
Its energy above the most stable polymorph in this dataset is 12 meV/atom. As for the density of states at the Fermi level: 0.9059 states/eV/atom. The magnetic moment comes out at 0.00 μB per cell. As for the final energy: -6.08 eV per atom. The value obtained for the mass density is 3.62 Mg/m³. The space group is P4/mbm (127).

```
10
Lattice="7.266 0.000 0.000 0.000 7.266 0.000 0.000 0.000 3.338" Properties=species:S:1:pos:R:3 pbc="T T T"
Ca 0.000 0.000 0.000
Ca 3.633 3.633 0.000
Si 2.759 6.392 0.000
Si 6.392 4.507 0.000
Si 4.507 0.874 0.000
Si 0.874 2.759 0.000
Ti 1.216 4.849 1.669
Ti 4.849 6.050 1.669
Ti 6.050 2.417 1.669
Ti 2.417 1.216 1.669
```



6.
DFT (PBE) results for CaTi2Si2 after structural relaxation.

Calculated values
Its energy above the most stable polymorph in this dataset is 259 meV/atom. As for the density of states at the Fermi level: 1.0117 states/eV/atom. The magnetic moment comes out at 0.00 μB per cell. As for the final energy: -5.83 eV per atom. The value obtained for the mass density is 2.99 Mg/m³. The space group is I4/mmm (139).

```
5
Lattice="4.773 0.000 0.000 0.000 4.773 0.000 2.386 2.386 4.682" Properties=species:S:1:pos:R:3 pbc="T T T"
Ca 0.000 0.000 0.000
Si 4.773 2.386 2.341
Si 2.386 4.773 2.341
Ti 2.386 2.386 1.595
Ti 4.773 4.773 3.087
```



7.
DFT (PBE) results for CaTiSi after structural relaxation.

Calculated values
As for the density of states at the Fermi level: 1.0731 states/eV/atom. The magnetic moment comes out at 0.00 μB per cell. As for the final energy: -5.44 eV per atom. The value obtained for the mass density is 2.78 Mg/m³. The space group is Cmcm (63).

```
6
Lattice="-2.499 0.501 -2.598 -1.897 -2.794 1.286 -4.053 6.270 7.649" Properties=species:S:1:pos:R:3 pbc="T T T"
Ca -3.044 -1.386 1.384
Ca -5.879 4.664 5.274
Ti -4.635 1.846 0.987
Ti -4.289 1.430 5.672
Si -4.423 2.871 3.529
Si -4.502 0.404 3.129
```



8.
DFT (PBE) results for CaTi2Si2 after structural relaxation.

Calculated values
Its energy above the most stable polymorph in this dataset is 0 meV/atom. As for the density of states at the Fermi level: 1.0110 states/eV/atom. The magnetic moment comes out at 1.58 μB per cell. As for the final energy: -6.09 eV per atom. The value obtained for the mass density is 3.68 Mg/m³. The space group is P4/mbm (127).

```
10
Lattice="-6.618 -3.131 2.873 4.245 -5.118 4.200 0.070 1.811 2.135" Properties=species:S:1:pos:R:3 pbc="T T T"
Ca 0.000 0.000 0.000
Ca -1.187 -4.125 3.537
Si 1.746 -3.085 4.395
Si -0.913 -5.434 6.475
Si -4.049 -3.354 4.814
Si -1.390 -1.005 2.735
Ti 1.217 -5.707 4.800
Ti -3.210 -5.926 5.131
Ti -3.590 -2.542 2.274
Ti 0.837 -2.324 1.943
```